Entry 1:
## FeTe2Mo (PBE-GGA)

Data for a relaxed FeTe2Mo crystal.

abc: 7.078 7.078 7.078
angles: 33.04 33.04 33.04
Positions (direct):
Te (0.968, 0.968, 0.968)
Te (0.790, 0.790, 0.790)
Mo (0.219, 0.219, 0.219)
Fe (0.524, 0.524, 0.524)

* SG: R3m
* V: 23.46 Å³ per atom
* formation energy (no corrections): 7.0 kJ per mole of atoms
* raw total energy: -25.29 eV/cell
* total magnetization: 1.692 μB/cell

=====

Entry 2:
## Fe4TeMo (PBE-GGA)

Data for a relaxed Fe4TeMo crystal.

abc: 4.878 4.878 4.878
angles: 60.00 60.00 60.00
Positions (direct):
Te (0.000, 0.000, 0.000)
Fe (0.376, 0.376, 0.376)
Fe (0.376, 0.872, 0.376)
Mo (0.750, 0.750, 0.750)
Fe (0.872, 0.376, 0.376)
Fe (0.376, 0.376, 0.872)

* SG: F-43m
* V: 13.68 Å³ per atom
* formation energy (no corrections): 28.8 kJ per mole of atoms
* raw total energy: -46.03 eV/cell
* total magnetization: 8.411 μB/cell

=====

Entry 3:
## FeTe2Mo (PBE-GGA)

Data for a relaxed FeTe2Mo crystal.

abc: 3.813 3.808 6.960
angles: 89.91 90.00 90.00
Positions (direct):
Te (0.000, 0.874, 0.896)
Mo (0.500, 0.875, 0.625)
Fe (0.000, 0.375, 0.625)
Te (0.500, 0.376, 0.354)

* SG: Pm
* V: 25.27 Å³ per atom
* formation energy (no corrections): -1.8 kJ per mole of atoms
* raw total energy: -25.65 eV/cell
* total magnetization: 2.477 μB/cell

=====

Entry 4:
## FeTe2Mo (PBE-GGA)

Data for a relaxed FeTe2Mo crystal.

abc: 8.035 8.035 8.035
angles: 24.38 24.38 24.38
Positions (direct):
Te (0.998, 0.998, 0.998)
Te (0.502, 0.502, 0.502)
Fe (0.250, 0.250, 0.250)
Mo (0.750, 0.750, 0.750)

* SG: R-3m
* V: 19.43 Å³ per atom
* formation energy (no corrections): 34.9 kJ per mole of atoms
* raw total energy: -24.13 eV/cell
* total magnetization: 2.265 μB/cell